Crystalline NaNdY2 at its relaxed geometry, computed with PBE.

a = 3.607 Å, b = 3.607 Å, c = 10.507 Å
α = 90.00°, β = 90.00°, γ = 90.00°
Space group P4/mmm (No. 123)
Inequivalent atoms, fractional coordinates:
Na 0.000 0.000 0.000
Nd 0.000 0.000 0.500
Y 0.500 0.500 0.265

## Properties
- Energy above the lowest structure with this stoichiometry: 18 meV per atom
- Energy: -18.4 eV for the cell shown
- Energy of formation: 142 meV/atom
- D(E_F): 1.430 states/eV per atom

Crystalline NaNd2Y at its relaxed geometry, computed with PBE.

a = 3.6168 Å, b = 3.6168 Å, c = 36.7572 Å
α = 90.00°, β = 90.00°, γ = 120.00°
Space group R-3m (No. 166, hexagonal axes)
Inequivalent atoms, fractional coordinates:
Na 0.0000 0.0000 0.0000
Nd 0.0000 0.0000 0.2456
Y 0.0000 0.0000 0.5000

## Properties
- Energy above the lowest structure with this stoichiometry: 0 meV per atom
- Energy: -51.1 eV for the cell shown
- Energy of formation: 73 meV/atom
- D(E_F): 0.901 states/eV per atom

Crystalline NaNdY2 at its relaxed geometry, computed with PBE.

a = 3.5890 Å, b = 3.5890 Å, c = 36.3839 Å
α = 90.00°, β = 90.00°, γ = 120.00°
Space group R-3m (No. 166, hexagonal axes)
Inequivalent atoms, fractional coordinates:
Na 0.0000 0.0000 0.0000
Nd 0.0000 0.0000 0.5000
Y 0.0000 0.0000 0.2465

## Properties
- Energy above the lowest structure with this stoichiometry: 0 meV per atom
- Energy: -55.6 eV for the cell shown
- Energy of formation: 125 meV/atom
- D(E_F): 1.376 states/eV per atom

Crystalline NaNdZn2 at its relaxed geometry, computed with PBE.

a = 5.235 Å, b = 5.235 Å, c = 3.526 Å
α = 90.00°, β = 90.00°, γ = 90.00°
Space group P4/mmm (No. 123)
Inequivalent atoms, fractional coordinates:
Na 0.000 0.000 0.000
Nd 0.500 0.500 0.000
Zn 0.000 0.500 0.500

## Properties
- Energy above the lowest structure with this stoichiometry: 33 meV per atom
- Energy: -9.0 eV for the cell shown
- Energy of formation: -82 meV/atom
- D(E_F): 0.715 states/eV per atom

Crystalline Na2NdZn9 at its relaxed geometry, computed with PBE.

a = 5.4259 Å, b = 5.4259 Å, c = 25.8311 Å
α = 90.00°, β = 90.00°, γ = 120.00°
Space group R-3m (No. 166, hexagonal axes)
Inequivalent atoms, fractional coordinates:
Na 0.0000 0.0000 0.1440
Nd 0.0000 0.0000 0.0000
Zn 0.0000 0.0000 0.3345
Zn 0.0000 0.0000 0.5000
Zn 0.0035 0.5018 0.9171

## Properties
- Energy: -61.5 eV for the cell shown
- Energy of formation: -137 meV/atom
- D(E_F): 0.536 states/eV per atom

Crystalline NaNd2Zn at its relaxed geometry, computed with PBE.

a = 3.702 Å, b = 3.702 Å, c = 8.866 Å
α = 90.00°, β = 90.00°, γ = 90.00°
Space group P4/mmm (No. 123)
Inequivalent atoms, fractional coordinates:
Na 0.000 0.000 0.000
Nd 0.500 0.500 0.304
Zn 0.000 0.000 0.500

## Properties
- Energy above the lowest structure with this stoichiometry: 0 meV per atom
- Energy: -12.3 eV for the cell shown
- Energy of formation: -45 meV/atom
- D(E_F): 1.097 states/eV per atom

Crystalline NaNdZn10 at its relaxed geometry, computed with PBE.

a = 4.311 Å, b = 5.254 Å, c = 9.394 Å
α = 90.00°, β = 90.00°, γ = 90.00°
Space group Pmmm (No. 47)
Inequivalent atoms, fractional coordinates:
Na 0.000 0.000 0.000
Nd 0.000 0.500 0.500
Zn 0.000 0.000 0.316
Zn 0.000 0.500 0.158
Zn 0.500 0.000 0.500
Zn 0.500 0.257 0.260
Zn 0.500 0.500 0.000

## Properties
- Energy: -20.8 eV for the cell shown
- Energy of formation: -165 meV/atom
- D(E_F): 0.466 states/eV per atom

Crystalline NaNdZn2 at its relaxed geometry, computed with PBE.

a = 7.178 Å, b = 7.178 Å, c = 7.178 Å
α = 90.00°, β = 90.00°, γ = 90.00°
Space group Fm-3m (No. 225)
Inequivalent atoms, fractional coordinates:
Na 0.000 0.000 0.000
Nd 0.000 0.000 0.500
Zn 0.250 0.250 0.250

## Properties
- Energy above the lowest structure with this stoichiometry: 0 meV per atom
- Energy: -36.4 eV for the cell shown
- Energy of formation: -116 meV/atom
- D(E_F): 0.645 states/eV per atom

Crystalline NaNd2Zn at its relaxed geometry, computed with PBE.

a = 5.378 Å, b = 5.378 Å, c = 3.907 Å
α = 90.00°, β = 90.00°, γ = 90.00°
Space group P4/mmm (No. 123)
Inequivalent atoms, fractional coordinates:
Na 0.000 0.000 0.000
Nd 0.000 0.500 0.500
Zn 0.500 0.500 0.000

## Properties
- Energy above the lowest structure with this stoichiometry: 96 meV per atom
- Energy: -11.9 eV for the cell shown
- Energy of formation: 51 meV/atom
- D(E_F): 1.139 states/eV per atom

Crystalline NaNd2Zn at its relaxed geometry, computed with PBE.

a = 7.661 Å, b = 7.661 Å, c = 7.661 Å
α = 90.00°, β = 90.00°, γ = 90.00°
Space group Fm-3m (No. 225)
Inequivalent atoms, fractional coordinates:
Na 0.000 0.000 0.000
Nd 0.250 0.250 0.250
Zn 0.000 0.000 0.500

## Properties
- Energy above the lowest structure with this stoichiometry: 100 meV per atom
- Energy: -47.6 eV for the cell shown
- Energy of formation: 55 meV/atom
- D(E_F): 1.574 states/eV per atom

Crystalline NaNd2Zn at its relaxed geometry, computed with PBE.

a = 3.5890 Å, b = 3.5890 Å, c = 35.4660 Å
α = 90.00°, β = 90.00°, γ = 120.00°
Space group R-3m (No. 166, hexagonal axes)
Inequivalent atoms, fractional coordinates:
Na 0.0000 0.0000 0.0000
Nd 0.0000 0.0000 0.1032
Zn 0.0000 0.0000 0.5000

## Properties
- Energy above the lowest structure with this stoichiometry: 124 meV per atom
- Energy: -35.4 eV for the cell shown
- Energy of formation: 79 meV/atom
- D(E_F): 0.999 states/eV per atom

Crystalline NaNdZr at its relaxed geometry, computed with PBE.

a = 3.389 Å, b = 3.389 Å, c = 16.012 Å
α = 90.00°, β = 90.00°, γ = 90.00°
Space group P4/nmm (No. 129, origin choice 2)
Inequivalent atoms, fractional coordinates:
Na 0.250 0.250 0.094
Nd 0.250 0.250 0.717
Zr 0.250 0.250 0.434

## Properties
- Energy: -28.7 eV for the cell shown
- Energy of formation: 101 meV/atom
- D(E_F): 1.139 states/eV per atom

Crystalline NaNd2Zr at its relaxed geometry, computed with PBE.

a = 3.4775 Å, b = 3.4775 Å, c = 36.2914 Å
α = 90.00°, β = 90.00°, γ = 120.00°
Space group R-3m (No. 166, hexagonal axes)
Inequivalent atoms, fractional coordinates:
Na 0.0000 0.0000 0.0000
Nd 0.0000 0.0000 0.2403
Zr 0.0000 0.0000 0.5000

## Properties
- Energy above the lowest structure with this stoichiometry: 12 meV per atom
- Energy: -56.5 eV for the cell shown
- Energy of formation: 140 meV/atom
- D(E_F): 0.926 states/eV per atom

Crystalline NaNd2Zr at its relaxed geometry, computed with PBE.

a = 3.462 Å, b = 3.462 Å, c = 10.632 Å
α = 90.00°, β = 90.00°, γ = 90.00°
Space group P4/mmm (No. 123)
Inequivalent atoms, fractional coordinates:
Na 0.000 0.000 0.000
Nd 0.500 0.500 0.282
Zr 0.000 0.000 0.500

## Properties
- Energy above the lowest structure with this stoichiometry: 0 meV per atom
- Energy: -18.9 eV for the cell shown
- Energy of formation: 128 meV/atom
- D(E_F): 1.072 states/eV per atom

Crystalline NaNi3 at its relaxed geometry, computed with PBE.

a = 3.765 Å, b = 3.765 Å, c = 7.229 Å
α = 90.00°, β = 90.00°, γ = 90.00°
Space group I4/mmm (No. 139)
Inequivalent atoms, fractional coordinates:
Na 0.000 0.000 0.000
Ni 0.000 0.000 0.500
Ni 0.000 0.500 0.250

## Properties
- Energy: -33.2 eV for the cell shown
- Energy of formation: 521 meV/atom
- D(E_F): 1.095 states/eV per atom

Crystalline Na4Ni at its relaxed geometry, computed with PBE.

a = 5.436 Å, b = 5.436 Å, c = 5.436 Å
α = 90.00°, β = 90.00°, γ = 90.00°
Space group Pm-3m (No. 221)
Inequivalent atoms, fractional coordinates:
Na 0.000 0.000 0.000
Na 0.000 0.500 0.500
Ni 0.500 0.500 0.500

## Properties
- Energy: -9.1 eV for the cell shown
- Energy of formation: 393 meV/atom
- D(E_F): 1.404 states/eV per atom

Crystalline Na3Ni at its relaxed geometry, computed with PBE.

a = 7.197 Å, b = 7.197 Å, c = 7.197 Å
α = 90.00°, β = 90.00°, γ = 90.00°
Space group Fm-3m (No. 225)
Inequivalent atoms, fractional coordinates:
Na 0.000 0.000 0.000
Na 0.250 0.250 0.250
Ni 0.000 0.000 0.500

## Properties
- Energy: -32.3 eV for the cell shown
- Energy of formation: 416 meV/atom
- D(E_F): 1.553 states/eV per atom

Crystalline NaNi3 at its relaxed geometry, computed with PBE.

a = 3.716 Å, b = 3.716 Å, c = 3.716 Å
α = 90.00°, β = 90.00°, γ = 90.00°
Space group Pm-3m (No. 221)
Inequivalent atoms, fractional coordinates:
Na 0.000 0.000 0.000
Ni 0.000 0.500 0.500

## Properties
- Energy: -16.6 eV for the cell shown
- Energy of formation: 525 meV/atom
- D(E_F): 1.507 states/eV per atom

Crystalline Na2Ni at its relaxed geometry, computed with PBE.

a = 8.839 Å, b = 7.448 Å, c = 4.796 Å
α = 90.00°, β = 122.58°, γ = 90.00°
Space group C2/c (No. 15)
Inequivalent atoms, fractional coordinates:
Na 0.167 0.167 0.167
Ni 0.000 0.500 0.250

## Properties
- Energy: -29.8 eV for the cell shown
- Energy of formation: 322 meV/atom
- D(E_F): 0.574 states/eV per atom

Crystalline NaNpNi4 at its relaxed geometry, computed with PBE.

a = 7.031 Å, b = 7.031 Å, c = 7.031 Å
α = 90.00°, β = 90.00°, γ = 90.00°
Space group F-43m (No. 216)
Inequivalent atoms, fractional coordinates:
Na 0.000 0.000 0.000
Np 0.250 0.250 0.250
Ni 0.125 0.125 0.625

## Properties
- Energy: -148.0 eV for the cell shown
- Energy of formation: 63 meV/atom
- D(E_F): 2.137 states/eV per atom